No. 1
Material: Mn3GaH
Method: DFT, GGA-PBE
State: optimized geometry

Space group: C2/c
DFT total energy (eV per formula unit): -33.7

a b c (Å): 12.672 7.313 7.313
angles (deg): 117.59 143.38 36.62
Fractional positions:
Mn  0.868  0.707  0.793
Mn  0.632  0.293  0.207
Mn  0.368  0.707  0.793
Mn  0.864  0.376  0.459
Mn  0.365  0.377  0.452
Mn  0.132  0.293  0.207
Mn  0.135  0.952  0.877
Mn  0.865  0.048  0.123
Mn  0.136  0.624  0.541
Mn  0.636  0.959  0.876
Mn  0.364  0.041  0.124
Mn  0.635  0.623  0.548
Ga  0.250  0.849  0.349
Ga  0.750  0.543  0.043
Ga  0.250  0.457  0.957
Ga  0.750  0.151  0.651
H  0.771  0.910  0.254
H  0.271  0.246  0.590
H  0.729  0.754  0.410
H  0.229  0.090  0.746

No. 2
Material: Mn3GaH
Method: DFT, GGA-PBE
State: optimized geometry

Space group: C2/m
DFT total energy (eV per formula unit): -32.9

a b c (Å): 18.604 7.330 7.330
angles (deg): 159.62 158.91 21.09
Fractional positions:
H  0.370  0.063  0.937
H  0.630  0.937  0.063
Mn  0.864  0.782  0.218
Mn  0.467  0.351  0.649
Mn  0.533  0.649  0.351
Mn  0.840  0.163  0.837
Mn  0.160  0.837  0.163
Mn  0.136  0.218  0.782
Ga  0.820  0.013  0.987
Ga  0.180  0.987  0.013

No. 3
Material: MnGaH2
Method: DFT, GGA-PBE
State: optimized geometry

Space group: Pmmn
Excess energy over the best structure of this formula in the dataset (meV/atom): 0.0
DFT total energy (eV per formula unit): -18.6

a b c (Å): 3.013 4.377 5.049
angles (deg): 90.00 90.00 90.00
Each line ends with the local moment (μB).
Fractional positions:
H  0.000  0.217  0.870  -0.03
H  0.500  0.283  0.130  -0.03
H  0.000  0.783  0.870  -0.03
H  0.500  0.717  0.130  -0.03
Ga  0.000  0.000  0.432  -0.07
Ga  0.500  0.500  0.568  -0.07
Mn  0.000  0.500  0.115  2.13
Mn  0.500  0.000  0.885  2.13

No. 4
Material: Mn3GaH
Method: DFT, GGA-PBE
State: optimized geometry

Space group: Imma
DFT total energy (eV per formula unit): -33.8

a b c (Å): 4.359 10.579 4.520
angles (deg): 90.00 90.00 90.00
Each line ends with the local moment (μB).
Fractional positions:
Mn  0.000  0.250  0.427  -1.00
Mn  0.000  0.750  0.573  -1.00
Mn  0.500  0.369  0.531  2.38
Mn  0.000  0.131  0.969  2.38
Mn  0.500  0.869  0.469  2.38
Mn  0.500  0.250  0.073  -1.00
Mn  0.000  0.631  0.031  2.38
Mn  0.500  0.631  0.469  2.38
Mn  0.500  0.131  0.531  2.38
Mn  0.000  0.369  0.969  2.38
Mn  0.000  0.869  0.031  2.38
Mn  0.500  0.750  0.927  -1.00
Ga  0.500  0.000  0.000  -0.06
Ga  0.000  0.000  0.500  -0.06
Ga  0.000  0.500  0.500  -0.06
Ga  0.500  0.500  0.000  -0.06
H  0.250  0.750  0.250  -0.01
H  0.750  0.250  0.750  -0.01
H  0.250  0.250  0.750  -0.01
H  0.750  0.750  0.250  -0.01

Question: Look up the DFT total energy of the first one.
Answer: -33.7 eV per formula unit

Repeat the first record exactly.
Material: Mn3GaH
Method: DFT, GGA-PBE
State: optimized geometry

Space group: C2/c
DFT total energy (eV per formula unit): -33.7

a b c (Å): 12.672 7.313 7.313
angles (deg): 117.59 143.38 36.62
Fractional positions:
Mn  0.868  0.707  0.793
Mn  0.632  0.293  0.207
Mn  0.368  0.707  0.793
Mn  0.864  0.376  0.459
Mn  0.365  0.377  0.452
Mn  0.132  0.293  0.207
Mn  0.135  0.952  0.877
Mn  0.865  0.048  0.123
Mn  0.136  0.624  0.541
Mn  0.636  0.959  0.876
Mn  0.364  0.041  0.124
Mn  0.635  0.623  0.548
Ga  0.250  0.849  0.349
Ga  0.750  0.543  0.043
Ga  0.250  0.457  0.957
Ga  0.750  0.151  0.651
H  0.771  0.910  0.254
H  0.271  0.246  0.590
H  0.729  0.754  0.410
H  0.229  0.090  0.746

Repeat the second record exactly.
Material: Mn3GaH
Method: DFT, GGA-PBE
State: optimized geometry

Space group: C2/m
DFT total energy (eV per formula unit): -32.9

a b c (Å): 18.604 7.330 7.330
angles (deg): 159.62 158.91 21.09
Fractional positions:
H  0.370  0.063  0.937
H  0.630  0.937  0.063
Mn  0.864  0.782  0.218
Mn  0.467  0.351  0.649
Mn  0.533  0.649  0.351
Mn  0.840  0.163  0.837
Mn  0.160  0.837  0.163
Mn  0.136  0.218  0.782
Ga  0.820  0.013  0.987
Ga  0.180  0.987  0.013